Record 1
An optimized crystal structure of CaYTlP2, computed with GGA-PBE.

Output
energy relative to the elements	314	kJ/mol of formula units

Cell: 5.3077 5.2991 5.3077 Å, 90.00 90.00 90.00°
With the nearest neighbours (Å) after each atom.
Atoms (fractional coordinates):
Y: 0.5000 0.5000 0.5000  8 P 3.75, 4 Ca 3.75
Tl: 0.0000 0.0000 0.0000  2 Ca 2.65, 4 P 2.65
Ca: 0.0000 0.5000 0.0000  2 Tl 2.65
P: 0.5000 0.0000 0.0000  2 Tl 2.65
P: 0.0000 0.0000 0.5000  2 Tl 2.65

=====

Record 2
An optimized crystal structure of RbBaHgTe2, computed with GGA-PBE.

Output
formation energy (no corrections)	-441.7	kJ/mol of formula units

Cell: 5.3583 8.4160 9.7716 Å, 100.34 90.00 90.00°
With the nearest neighbours (Å) after each atom.
Atoms (fractional coordinates):
Te: 0.3312 0.3148 0.0290  1 Hg 3.16, 1 Ba 3.50
Te: 0.6687 0.3148 0.5290  1 Hg 3.16, 1 Ba 3.50
Te: 0.3312 0.6852 0.4710  1 Hg 3.16, 1 Ba 3.50
Te: 0.6687 0.6852 0.9710  1 Hg 3.16, 1 Ba 3.50
Hg: 0.0000 0.0000 0.5000  2 Te 3.16, 2 Rb 3.52
Hg: 0.0000 0.0000 0.0000  2 Te 3.16, 2 Rb 3.52
Ba: 0.1561 0.5000 0.7500  6 Te 3.50-3.66
Ba: 0.8439 0.5000 0.2500  6 Te 3.50-3.66
Rb: 0.4721 0.0000 0.2500  4 Hg 3.52-3.74, 4 Te 3.60-3.78
Rb: 0.5279 0.0000 0.7500  4 Hg 3.52-3.74, 4 Te 3.60-3.78

=====

Record 3
An optimized crystal structure of Li6Cd2HgH, computed with GGA-PBE.

Cell: 5.4869 7.5357 6.2542 Å, 50.40 71.85 97.07°
With the nearest neighbours (Å) after each atom.
Atoms (fractional coordinates):
Li: 0.2472 0.3469 0.5663  1 H 1.96
Li: 0.7528 0.6531 0.4337  1 H 1.96
Li: 0.8856 0.8975 0.8178  1 H 1.93
Li: 0.1144 0.1025 0.1822  1 H 1.93
Li: 0.3113 0.8565 0.9774  1 H 2.15
Li: 0.6887 0.1435 0.0226  1 H 2.15
Cd: 0.1894 0.6770 0.6389  6 Li 2.83-3.09, 1 Hg 2.98, 1 Cd 3.04
Cd: 0.8106 0.3230 0.3611  6 Li 2.83-3.09, 1 Hg 2.98, 1 Cd 3.04
Hg: 0.5000 0.5000 0.0000  6 Li 2.67-2.93, 2 Cd 2.98
H: 0.0000 0.0000 0.0000  6 Li 1.93-2.15

=====

Number 1: total DFT energy (no corrections) -3.679 eV/atom, volume 149.3 Å³ per cell. Number 2: total DFT energy (no corrections) -2.811 eV/atom, volume 433.5 Å³ per cell. Number 3: total DFT energy (no corrections) -1.906 eV/atom, volume 170.1 Å³ per cell.